[1]
Material: CdAuSe
Method: DFT, PBE-GGA
State: optimized geometry

The structure in CIF format:
```
data_CdAuSe
_chemical_formula_sum 'Cd1 Au1 Se1'
_cell_length_a 6.829
_cell_length_b 6.829
_cell_length_c 6.829
_cell_angle_alpha 153.55
_cell_angle_beta 153.55
_cell_angle_gamma 37.75
_space_group_name_H-M_alt 'P 1'
_space_group_IT_number 1
_space_group_name_Hall 'P 1'
loop_
_atom_site_label
_atom_site_fract_x
_atom_site_fract_y
_atom_site_fract_z
Cd1 0.340 0.340 0.000
Au1 0.986 0.986 0.000
Se1 0.674 0.674 0.000
```

Calculated values
electronic total energy = -2.431 eV/atom
SG = No. 107
D(E_F) = 1.399 states/eV/cell
V = 21.0 Å³ per atom
energy relative to the elements, uncorrected = 0.128 eV per atom
magnetic moment = 0.0 μB per cell

=====

[2]
Material: CdAuSe2
Method: DFT, PBE-GGA
State: optimized geometry

The structure in CIF format:
```
data_CdAuSe2
_chemical_formula_sum 'Cd1 Au1 Se2'
_cell_length_a 2.982
_cell_length_b 2.982
_cell_length_c 10.163
_cell_angle_alpha 90.00
_cell_angle_beta 90.00
_cell_angle_gamma 96.75
_space_group_name_H-M_alt 'P 1'
_space_group_IT_number 1
_space_group_name_Hall 'P 1'
loop_
_atom_site_label
_atom_site_fract_x
_atom_site_fract_y
_atom_site_fract_z
Cd1 0.500 0.500 0.727
Au1 0.000 0.000 0.523
Se1 0.000 0.000 0.947
Se2 0.500 0.500 0.303
```

Calculated values
electronic total energy = -2.610 eV/atom
SG = No. 35
D(E_F) = 1.668 states/eV/cell
V = 22.4 Å³ per atom
energy relative to the elements, uncorrected = 0.180 eV per atom
magnetic moment = 0.0 μB per cell

=====

[3]
Material: CdAuSe2
Method: DFT, PBE-GGA
State: optimized geometry

The structure in CIF format:
```
data_CdAuSe2
_chemical_formula_sum 'Cd1 Au1 Se2'
_cell_length_a 5.104
_cell_length_b 5.104
_cell_length_c 5.104
_cell_angle_alpha 125.69
_cell_angle_beta 125.69
_cell_angle_gamma 80.39
_space_group_name_H-M_alt 'P 1'
_space_group_IT_number 1
_space_group_name_Hall 'P 1'
loop_
_atom_site_label
_atom_site_fract_x
_atom_site_fract_y
_atom_site_fract_z
Au1 0.250 0.750 0.500
Se1 0.000 0.000 0.000
Se2 0.500 0.500 0.000
Cd1 0.750 0.250 0.500
```

Calculated values
electronic total energy = -2.541 eV/atom
SG = No. 139
D(E_F) = 2.115 states/eV/cell
V = 21.2 Å³ per atom
energy relative to the elements, uncorrected = 0.249 eV per atom
magnetic moment = 0.0 μB per cell

=====

[4]
Material: CdAuSe2
Method: DFT, PBE-GGA
State: optimized geometry

The structure in CIF format:
```
data_CdAuSe2
_chemical_formula_sum 'Cd1 Au1 Se2'
_cell_length_a 12.542
_cell_length_b 12.542
_cell_length_c 12.542
_cell_angle_alpha 13.16
_cell_angle_beta 13.16
_cell_angle_gamma 13.16
_space_group_name_H-M_alt 'P 1'
_space_group_IT_number 1
_space_group_name_Hall 'P 1'
loop_
_atom_site_label
_atom_site_fract_x
_atom_site_fract_y
_atom_site_fract_z
Se1 0.920 0.920 0.920
Se2 0.080 0.080 0.080
Cd1 0.000 0.000 0.000
Au1 0.500 0.500 0.500
```

Calculated values
electronic total energy = -2.531 eV/atom
SG = No. 166
D(E_F) = 1.780 states/eV/cell
V = 22.3 Å³ per atom
energy relative to the elements, uncorrected = 0.259 eV per atom
magnetic moment = 0.0 μB per cell